Material: Na6Fe2PC4O16
Method: DFT, PBE with a Hubbard U
State: relaxed

a = 9.938 Å, b = 9.938 Å, c = 9.938 Å
α = 60.00°, β = 60.00°, γ = 60.00°
Site moments in Bohr magnetons follow the coordinates.
Fractional coordinates of all 58 atoms:
1 O 0.064 0.807 0.064  0.00
2 O 0.443 0.186 0.186  0.00
3 O 0.267 0.435 0.525  0.05
4 O 0.064 0.064 0.807  0.00
5 O 0.267 0.773 0.435  0.05
6 O 0.525 0.435 0.773  0.05
7 O 0.435 0.773 0.525  0.05
8 O 0.525 0.267 0.435  0.05
9 O 0.435 0.267 0.773  0.05
10 O 0.983 0.815 0.725  0.05
11 O 0.773 0.435 0.267  0.05
12 O 0.477 0.815 0.983  0.05
13 O 0.186 0.186 0.186  0.00
14 O 0.983 0.725 0.477  0.05
15 O 0.815 0.983 0.477  0.05
16 O 0.186 0.443 0.186  0.00
17 O 0.807 0.064 0.064  0.00
18 O 0.815 0.725 0.983  0.05
19 O 0.186 0.186 0.443  0.00
20 O 0.725 0.815 0.477  0.05
21 O 0.064 0.064 0.064  0.00
22 O 0.725 0.983 0.815  0.05
23 O 0.815 0.477 0.725  0.05
24 O 0.477 0.983 0.725  0.05
25 O 0.983 0.477 0.815  0.05
26 O 0.525 0.773 0.267  0.05
27 O 0.435 0.525 0.267  0.05
28 O 0.773 0.267 0.525  0.05
29 O 0.773 0.525 0.435  0.05
30 O 0.267 0.525 0.773  0.05
31 O 0.477 0.725 0.815  0.05
32 O 0.725 0.477 0.983  0.05
33 C 0.840 0.840 0.840  0.00
34 C 0.840 0.840 0.479  0.00
35 C 0.410 0.771 0.410  0.00
36 C 0.410 0.410 0.410  0.00
37 C 0.410 0.410 0.771  0.00
38 C 0.479 0.840 0.840  0.00
39 C 0.840 0.479 0.840  0.00
40 C 0.771 0.410 0.410  0.00
41 Fe 0.625 0.625 0.125  4.12
42 Fe 0.125 0.625 0.625  4.12
43 Fe 0.625 0.125 0.625  4.12
44 Fe 0.625 0.625 0.625  4.12
45 Na 0.455 0.045 0.045  0.00
46 Na 0.205 0.795 0.795  0.00
47 Na 0.205 0.205 0.795  0.00
48 Na 0.045 0.455 0.455  0.00
49 Na 0.045 0.455 0.045  0.00
50 Na 0.795 0.795 0.205  0.00
51 Na 0.205 0.795 0.205  0.00
52 Na 0.795 0.205 0.205  0.00
53 Na 0.455 0.455 0.045  0.00
54 Na 0.045 0.045 0.455  0.00
55 Na 0.455 0.045 0.455  0.00
56 Na 0.795 0.205 0.795  0.00
57 P 0.000 0.000 0.000  0.00
58 P 0.250 0.250 0.250  0.00

Computed properties:
Its magnetic moment is 9.000 μB/f.u. The value obtained for the total energy is -380.234 eV per cell. Its space-group type is No. 203. The value obtained for the density of states at the Fermi level is 13.063 states/eV/cell.